No. 1
Compound: Ba2HoCu3O7
Source: Alexandria via LeMat-Bulk
Functional: PBE-GGA
Structure: optimized geometry

Computed properties:
The size of the total moment comes out at 0.000 μB per formula unit. For the energy relative to the elements, uncorrected, the calculation gives -1.81 eV/atom. As for the energy: -6.0757 eV/atom.

a b c (Å): 3.834 3.914 11.828
angles (deg): 90.00 90.00 90.00
Space group Pmmm (No. 47)
Symmetry-distinct sites (fractional):
Ba 0.000 0.000 0.181
Ho 0.000 0.000 0.500
Cu 0.500 0.500 0.000
Cu 0.500 0.500 0.354
O 0.000 0.500 0.381
O 0.500 0.000 0.000
O 0.500 0.000 0.380
O 0.500 0.500 0.159

---

No. 2
Compound: CaCrBi3
Source: Alexandria via LeMat-Bulk
Functional: PBE-GGA
Structure: optimized geometry

Computed properties:
The size of the total moment comes out at 4.810 μB per formula unit. The energy above the most stable polymorph in this dataset is 757 meV/atom. As for the energy: -3.7710 eV/atom. The energy of formation from the pure elements comes out at 0.883 eV/atom.

a b c (Å): 5.795 5.795 5.795
angles (deg): 90.00 90.00 90.00
Space group Pm-3m (No. 221)
Symmetry-distinct sites (fractional):
Ca 0.000 0.000 0.000
Cr 0.500 0.500 0.500
Bi 0.000 0.000 0.500

---

No. 3
Compound: Rb2PaAgTe4
Source: Alexandria via LeMat-Bulk
Functional: PBE-GGA
Structure: optimized geometry

Computed properties:
The size of the total moment comes out at 0.000 μB per formula unit. For the energy relative to the elements, uncorrected, the calculation gives -0.69 eV/atom. As for the energy: -4.0491 eV/atom.

a b c (Å): 8.976 8.976 7.493
angles (deg): 90.00 90.00 90.00
Space group I-42m (No. 121)
Symmetry-distinct sites (fractional):
Rb 0.000 0.500 0.000
Pa 0.000 0.000 0.000
Ag 0.000 0.000 0.500
Te 0.174 0.174 0.252

---

No. 4
Compound: HfZr2Pd
Source: Alexandria via LeMat-Bulk
Functional: PBE-GGA
Structure: optimized geometry

Computed properties:
The size of the total moment comes out at 0.000 μB per formula unit. The energy above the most stable polymorph in this dataset is 0 meV/atom. As for the energy: -8.4161 eV/atom. The energy of formation from the pure elements comes out at -0.355 eV/atom.

a b c (Å): 3.285 3.285 7.656
angles (deg): 90.00 90.00 90.00
Space group P4/mmm (No. 123)
Symmetry-distinct sites (fractional):
Hf 0.000 0.000 0.000
Zr 0.500 0.500 0.270
Pd 0.000 0.000 0.500

---

No. 5
Compound: Ac5In2Sn2
Source: Alexandria via LeMat-Bulk
Functional: PBE-GGA
Structure: optimized geometry

Computed properties:
The size of the total moment comes out at 0.000 μB per formula unit. As for the energy: -4.3193 eV/atom. The energy of formation from the pure elements comes out at -0.539 eV/atom.

a b c (Å): 17.400 8.850 8.843
angles (deg): 90.00 90.00 90.00
Space group Cmce (No. 64)
Symmetry-distinct sites (fractional):
Ac 0.000 0.000 0.000
Ac 0.143 0.175 0.330
In 0.000 0.119 0.619
Sn 0.203 0.000 0.000

---

No. 6
Compound: CdNiSb2Te
Source: Alexandria via LeMat-Bulk
Functional: PBE-GGA
Structure: optimized geometry

Computed properties:
The size of the total moment comes out at 0.684 μB per formula unit. The energy above the most stable polymorph in this dataset is 1079 meV/atom. For the energy relative to the elements, uncorrected, the calculation gives 1.21 eV/atom. As for the energy: -2.4039 eV/atom.

a b c (Å): 5.437 5.437 5.597
angles (deg): 90.00 90.00 90.00
Space group P4/mmm (No. 123)
Symmetry-distinct sites (fractional):
Cd 0.000 0.000 0.000
Ni 0.500 0.500 0.500
Sb 0.000 0.500 0.000
Te 0.000 0.000 0.500

---

No. 7
Compound: Pr3ErAl8
Source: Alexandria via LeMat-Bulk
Functional: PBE-GGA
Structure: optimized geometry

Computed properties:
The size of the total moment comes out at 0.000 μB per formula unit. As for the energy: -4.5554 eV/atom. The energy of formation from the pure elements comes out at -0.485 eV/atom.

a b c (Å): 5.6651 5.6651 27.8572
angles (deg): 90.00 90.00 120.00
Space group R3m (No. 160, hexagonal axes)
Symmetry-distinct sites (fractional):
Pr 0.0000 0.0000 0.0000
Pr 0.0000 0.0000 0.1254
Pr 0.0000 0.0000 0.5004
Er 0.0000 0.0000 0.6246
Al 0.0000 0.0000 0.3122
Al 0.0000 0.0000 0.8130
Al 0.0005 0.5003 0.5638
Al 0.1672 0.3344 0.3948

---

No. 8
Compound: Rb5PaO4
Source: Alexandria via LeMat-Bulk
Functional: PBE-GGA
Structure: optimized geometry

Computed properties:
The size of the total moment comes out at 0.000 μB per formula unit. For the energy relative to the elements, uncorrected, the calculation gives -1.87 eV/atom. As for the energy: -5.2891 eV/atom.

a b c (Å): 22.225 3.721 8.294
angles (deg): 90.00 105.10 90.00
Space group C2/m (No. 12)
Symmetry-distinct sites (fractional):
Rb 0.000 0.000 0.000
Rb 0.140 0.500 0.377
Rb 0.143 0.500 0.813
Pa 0.000 0.000 0.500
O 0.000 0.500 0.328
O 0.096 0.000 0.566

---

No. 9
Compound: Re7Se
Source: Alexandria via LeMat-Bulk
Functional: PBE-GGA
Structure: optimized geometry

Computed properties:
The size of the total moment comes out at 0.000 μB per formula unit. For the energy relative to the elements, uncorrected, the calculation gives 0.57 eV/atom. As for the energy: -10.7603 eV/atom.

a b c (Å): 7.874 7.874 7.874
angles (deg): 90.00 90.00 90.00
Space group Fm-3m (No. 225)
Symmetry-distinct sites (fractional):
Re 0.000 0.000 0.000
Re 0.000 0.250 0.250
Se 0.000 0.000 0.500

---

No. 10
Compound: CoSn2Pb
Source: Alexandria via LeMat-Bulk
Functional: PBE-GGA
Structure: optimized geometry

Computed properties:
The size of the total moment comes out at 1.031 μB per formula unit. As for the energy: -4.3462 eV/atom. The energy of formation from the pure elements comes out at 0.359 eV/atom.

a b c (Å): 5.260 5.260 16.168
angles (deg): 90.00 90.00 90.00
Space group I-42d (No. 122)
Symmetry-distinct sites (fractional):
Co 0.000 0.000 0.000
Sn 0.148 0.250 0.125
Pb 0.000 0.000 0.500

---

No. 11
Compound: LaNbSeN2
Source: Alexandria via LeMat-Bulk
Functional: PBE-GGA
Structure: optimized geometry

Computed properties:
The size of the total moment comes out at 2.220 μB per formula unit. The energy above the most stable polymorph in this dataset is 1677 meV/atom. For the energy relative to the elements, uncorrected, the calculation gives 0.92 eV/atom. As for the energy: -6.1019 eV/atom.

a b c (Å): 4.224 4.224 6.029
angles (deg): 90.00 90.00 90.00
Space group P4/mmm (No. 123)
Symmetry-distinct sites (fractional):
La 0.000 0.000 0.000
Nb 0.500 0.500 0.500
Se 0.000 0.000 0.500
N 0.000 0.500 0.000

---

No. 12
Compound: MnRuCl2
Source: Alexandria via LeMat-Bulk
Functional: PBE-GGA
Structure: optimized geometry

Computed properties:
The size of the total moment comes out at 2.469 μB per formula unit. The energy above the most stable polymorph in this dataset is 28 meV/atom. For the energy relative to the elements, uncorrected, the calculation gives -0.13 eV/atom. As for the energy: -5.6622 eV/atom.

a b c (Å): 3.097 3.033 8.526
angles (deg): 90.00 90.99 90.00
Space group Pm (No. 6)
Symmetry-distinct sites (fractional):
Mn 0.000 0.000 0.000
Ru 0.509 0.500 0.170
Cl 0.521 0.000 0.385
Cl 0.991 0.500 0.796

---

No. 13
Compound: Ta2OsRu2
Source: Alexandria via LeMat-Bulk
Functional: PBE-GGA
Structure: optimized geometry

Computed properties:
The size of the total moment comes out at 0.000 μB per formula unit. The energy above the most stable polymorph in this dataset is 0 meV/atom. As for the energy: -10.6513 eV/atom. The energy of formation from the pure elements comes out at 0.046 eV/atom.

a b c (Å): 7.232 7.232 3.081
angles (deg): 90.00 90.00 90.00
Space group P4/mbm (No. 127)
Symmetry-distinct sites (fractional):
Ta 0.172 0.328 0.000
Os 0.000 0.000 0.500
Ru 0.131 0.631 0.500

---

No. 14
Compound: HfCo3Si2
Source: Alexandria via LeMat-Bulk
Functional: PBE-GGA
Structure: optimized geometry

Computed properties:
The size of the total moment comes out at 0.000 μB per formula unit. For the energy relative to the elements, uncorrected, the calculation gives -0.68 eV/atom. As for the energy: -7.6948 eV/atom.

a b c (Å): 14.840 3.647 8.983
angles (deg): 90.00 108.03 90.00
Space group C2/m (No. 12)
Symmetry-distinct sites (fractional):
Hf 0.000 0.000 0.000
Hf 0.159 0.000 0.697
Co 0.000 0.500 0.500
Co 0.044 0.000 0.335
Co 0.119 0.500 0.197
Co 0.179 0.500 0.966
Co 0.215 0.000 0.392
Si 0.037 0.500 0.778
Si 0.138 0.500 0.453
Si 0.197 0.000 0.131

---

No. 15
Compound: BaCaSnBi2
Source: Alexandria via LeMat-Bulk
Functional: PBE-GGA
Structure: optimized geometry

Computed properties:
The size of the total moment comes out at 0.000 μB per formula unit. As for the energy: -3.6667 eV/atom. The energy of formation from the pure elements comes out at -0.529 eV/atom.

a b c (Å): 7.059 15.964 6.524
angles (deg): 90.00 90.00 90.00
Space group Cmme (No. 67)
Symmetry-distinct sites (fractional):
Ba 0.000 0.250 0.219
Ca 0.250 0.000 0.500
Sn 0.000 0.000 0.000
Bi 0.000 0.151 0.717

---

No. 16
Compound: Al12Zn7Ag
Source: Alexandria via LeMat-Bulk
Functional: PBE-GGA
Structure: optimized geometry

Computed properties:
The size of the total moment comes out at 0.000 μB per formula unit. As for the energy: -2.7527 eV/atom. The energy of formation from the pure elements comes out at 0.081 eV/atom.

a b c (Å): 11.8025 11.8025 8.3579
angles (deg): 90.00 90.00 120.00
Space group R-3 (No. 148, hexagonal axes)
Symmetry-distinct sites (fractional):
Al 0.0520 0.8367 0.2458
Al 0.0528 0.8095 0.5788
Zn 0.0000 0.0000 0.5000
Zn 0.0610 0.8172 0.9113
Ag 0.0000 0.0000 0.0000

---

No. 17
Compound: Dy4InRh5
Source: Alexandria via LeMat-Bulk
Functional: PBE-GGA
Structure: optimized geometry

Computed properties:
The size of the total moment comes out at 0.000 μB per formula unit. As for the energy: -6.5794 eV/atom. The energy of formation from the pure elements comes out at -0.789 eV/atom.

a b c (Å): 3.429 3.429 16.530
angles (deg): 90.00 90.00 90.00
Space group P4/mmm (No. 123)
Symmetry-distinct sites (fractional):
Dy 0.000 0.000 0.102
Dy 0.000 0.000 0.307
In 0.000 0.000 0.500
Rh 0.500 0.500 0.000
Rh 0.500 0.500 0.204
Rh 0.500 0.500 0.409

---

No. 18
Compound: PrThScCd
Source: Alexandria via LeMat-Bulk
Functional: PBE-GGA
Structure: optimized geometry

Computed properties:
The size of the total moment comes out at 0.353 μB per formula unit. As for the energy: -4.8326 eV/atom. The energy of formation from the pure elements comes out at 0.029 eV/atom.

a b c (Å): 7.729 7.729 7.729
angles (deg): 90.00 90.00 90.00
Space group F-43m (No. 216)
Symmetry-distinct sites (fractional):
Pr 0.000 0.000 0.000
Th 0.000 0.000 0.500
Sc 0.250 0.250 0.750
Cd 0.250 0.250 0.250

---

No. 19
Compound: Tl2VSb
Source: Alexandria via LeMat-Bulk
Functional: PBE-GGA
Structure: optimized geometry

Computed properties:
The size of the total moment comes out at 3.779 μB per formula unit. The energy above the most stable polymorph in this dataset is 142 meV/atom. For the energy relative to the elements, uncorrected, the calculation gives 0.54 eV/atom. As for the energy: -3.9497 eV/atom.

a b c (Å): 7.440 7.440 7.440
angles (deg): 90.00 90.00 90.00
Space group Fm-3m (No. 225)
Symmetry-distinct sites (fractional):
Tl 0.250 0.250 0.250
V 0.000 0.000 0.000
Sb 0.000 0.000 0.500

---

No. 20
Compound: Sc2ZnSb
Source: Alexandria via LeMat-Bulk
Functional: PBE-GGA
Structure: optimized geometry

Computed properties:
The size of the total moment comes out at 0.000 μB per formula unit. The energy above the most stable polymorph in this dataset is 197 meV/atom. For the energy relative to the elements, uncorrected, the calculation gives -0.41 eV/atom. As for the energy: -4.9278 eV/atom.

a b c (Å): 4.0821 4.0821 19.6768
angles (deg): 90.00 90.00 120.00
Space group R-3m (No. 166, hexagonal axes)
Symmetry-distinct sites (fractional):
Sc 0.0000 0.0000 0.2503
Zn 0.0000 0.0000 0.0000
Sb 0.0000 0.0000 0.5000